No. 1
BeTe2IN PBE relaxed; density = 6.06 Mg/m³; distance to the lowest polymorph of the same formula = 626 meV per atom; space-group type = P4/mmm, No. 123; E = -2.793 eV per atom
1.0
4.8371 0.0000 0.0000
0.0000 4.8371 0.0000
0.0000 0.0000 4.7426
I N Te Be
1 1 2 1
direct
0.0000 0.0000 0.5000 I
0.0000 0.0000 0.0000 N
0.5000 0.0000 0.0000 Te
0.0000 0.5000 0.0000 Te
0.5000 0.5000 0.5000 Be



No. 2
LaBi2Pb2 PBE relaxed; density = 9.52 Mg/m³; formation enthalpy at 0 K = -0.23 eV per atom; distance to the lowest polymorph of the same formula = 195 meV per atom; space-group type = P4/mbm, No. 127; E = -4.254 eV per atom
1.0
-4.5695 7.1660 -0.6166
-6.5354 -3.8317 3.9010
1.6440 1.4040 4.1333
Pb Bi La
4 4 2
direct
0.6696 0.8304 0.5000 Pb
0.3303 0.1696 0.5000 Pb
0.1696 0.6696 0.5000 Pb
0.8304 0.3303 0.5000 Pb
0.6366 0.1366 0.0000 Bi
0.3634 0.8634 0.0000 Bi
0.1366 0.3634 0.0000 Bi
0.8634 0.6366 0.0000 Bi
0.5000 0.5000 0.0000 La
0.0000 0.0000 0.0000 La



Look up the distance to the lowest polymorph of the same formula of the first one. 626 meV per atom